--- 1 ---
A geometry-optimized Ho3Tm8Th2 structure, computed with PBE.

Computed properties:
total moment	0.0	Bohr magnetons per cell
Fermi-level density of states	23.054	states/eV/f.u.
SG	No. 65

a b c (Å): 5.5777 7.2920 10.9434
angles (deg): 109.45 90.01 90.00
With the nearest neighbours (Å) after each atom.
Atoms (fractional coordinates):
Ho: 0.5000 0.0000 0.0000  4 Tm 3.05-3.06
Ho: 0.0000 0.2740 0.0000  3 Ho 3.30-3.43, 6 Tm 3.49-3.60
Ho: 0.0000 0.7260 0.0000  3 Ho 3.30-3.43, 6 Tm 3.49-3.60
Tm: 0.0000 0.6644 0.3289  2 Th 3.35-3.36, 6 Tm 3.41-3.68
Tm: 0.0000 0.3356 0.6711  2 Th 3.35-3.36, 6 Tm 3.41-3.68
Tm: 0.9998 0.1387 0.2773  2 Ho 3.49, 6 Tm 3.51-3.68, 2 Th 3.55
Tm: 0.0002 0.8613 0.7227  2 Ho 3.49, 6 Tm 3.51-3.68, 2 Th 3.55
Tm: 0.5001 0.6095 0.7801  1 Ho 3.06, 3 Tm 3.20-3.41, 1 Th 3.39
Tm: 0.5001 0.1707 0.7801  1 Ho 3.05, 3 Tm 3.20-3.41, 1 Th 3.39
Tm: 0.4999 0.8293 0.2199  1 Ho 3.05, 3 Tm 3.20-3.41, 1 Th 3.39
Tm: 0.4999 0.3906 0.2199  1 Ho 3.06, 3 Tm 3.20-3.41, 1 Th 3.39
Th: 0.4999 0.2452 0.4904  8 Tm 3.35-3.55, 2 Th 3.65
Th: 0.5001 0.7548 0.5096  8 Tm 3.35-3.55, 2 Th 3.65

--- 2 ---
A geometry-optimized Ho3Tm8Th2 structure, computed with PBE.

Computed properties:
total moment	0.0	Bohr magnetons per cell
Fermi-level density of states	16.395	states/eV/f.u.
SG	No. 14

a b c (Å): 13.1232 8.4640 17.2336
angles (deg): 90.00 90.00 154.66
With the nearest neighbours (Å) after each atom.
Atoms (fractional coordinates):
Ho: 0.6977 0.7919 0.2464  7 Tm 3.21-3.51, 2 Th 3.31-3.58
Ho: 0.5000 0.0000 0.5000  2 Tm 3.05, 2 Th 3.09
Ho: 0.8023 0.2081 0.7464  7 Tm 3.21-3.51, 2 Th 3.31-3.58
Ho: 0.1977 0.7919 0.2536  7 Tm 3.21-3.51, 2 Th 3.31-3.58
Ho: 0.0000 0.0000 0.0000  2 Tm 3.05, 2 Th 3.09
Ho: 0.3023 0.2081 0.7536  7 Tm 3.21-3.51, 2 Th 3.31-3.58
Tm: 0.5612 0.7104 0.0734  2 Ho 3.21-3.46, 4 Tm 3.37-3.58, 2 Th 3.56-3.60
Tm: 0.4991 0.6280 0.4197  2 Ho 3.33-3.43, 2 Th 3.34-3.50, 6 Tm 3.44-3.71
Tm: 0.8936 0.9345 0.7605  3 Ho 3.42-3.45, 6 Tm 3.49-3.81, 2 Th 3.58-3.69
Tm: 0.8261 0.5096 0.8843  2 Ho 3.05-3.29, 1 Th 3.19
Tm: 0.6064 0.0655 0.2606  3 Ho 3.42-3.45, 6 Tm 3.49-3.81, 2 Th 3.58-3.69
Tm: 0.6739 0.4904 0.3843  2 Ho 3.05-3.29, 1 Th 3.19
Tm: 0.0612 0.7104 0.4265  2 Ho 3.21-3.46, 4 Tm 3.37-3.58, 2 Th 3.56-3.60
Tm: 0.0010 0.3720 0.9197  2 Ho 3.33-3.43, 2 Th 3.34-3.50, 6 Tm 3.44-3.71
Tm: 0.9990 0.6280 0.0803  2 Ho 3.33-3.43, 2 Th 3.34-3.50, 6 Tm 3.44-3.71
Tm: 0.9388 0.2896 0.5735  2 Ho 3.21-3.46, 4 Tm 3.37-3.58, 2 Th 3.56-3.60
Tm: 0.1064 0.0655 0.2395  3 Ho 3.42-3.45, 6 Tm 3.49-3.81, 2 Th 3.58-3.69
Tm: 0.3936 0.9345 0.7394  3 Ho 3.42-3.45, 6 Tm 3.49-3.81, 2 Th 3.58-3.69
Tm: 0.1739 0.4904 0.1157  2 Ho 3.05-3.29, 1 Th 3.19
Tm: 0.3261 0.5096 0.6157  2 Ho 3.05-3.29, 1 Th 3.19
Tm: 0.5009 0.3720 0.5803  2 Ho 3.33-3.43, 2 Th 3.34-3.50, 6 Tm 3.44-3.71
Tm: 0.4388 0.2896 0.9266  2 Ho 3.21-3.46, 4 Tm 3.37-3.58, 2 Th 3.56-3.60
Th: 0.5861 0.3267 0.1092  2 Ho 3.09-3.31, 2 Tm 3.19-3.34
Th: 0.9139 0.6733 0.6092  2 Ho 3.09-3.31, 2 Tm 3.19-3.34
Th: 0.0861 0.3267 0.3908  2 Ho 3.09-3.31, 2 Tm 3.19-3.34
Th: 0.4139 0.6733 0.8908  2 Ho 3.09-3.31, 2 Tm 3.19-3.34

Going by the energies, 2 is most stable and the next is 0.113 eV/atom up.

--- 1 ---
A geometry-optimized YHoTmTh structure, computed with PBE.

Computed properties:
total moment	0.4	Bohr magnetons per cell
Fermi-level density of states	6.167	states/eV/f.u.
SG	No. 160

a b c (Å): 3.5764 3.5774 11.5534
angles (deg): 90.00 98.90 120.00
With the nearest neighbours (Å) after each atom.
Atoms (fractional coordinates):
Y: 0.1351 0.9657 0.1151  3 Th 3.53, 3 Ho 3.57-3.58, 6 Y 3.58
Ho: 0.9720 0.3842 0.3718  3 Tm 3.49, 3 Y 3.57-3.58, 6 Ho 3.58
Tm: 0.4708 0.1332 0.6195  3 Th 3.46, 3 Ho 3.49, 6 Tm 3.58
Th: 0.2999 0.5477 0.8632  3 Tm 3.46, 3 Y 3.53, 6 Th 3.58

--- 2 ---
A geometry-optimized YHoTmTh structure, computed with PBE.

Computed properties:
total moment	0.0	Bohr magnetons per cell
Fermi-level density of states	8.187	states/eV/f.u.
SG	No. 216

a b c (Å): 5.6455 5.6455 5.6455
angles (deg): 60.00 60.00 60.00
With the nearest neighbours (Å) after each atom.
Atoms (fractional coordinates):
Y: 0.7500 0.7500 0.7500  4 Ho 3.46, 4 Tm 3.46
Tm: 0.5000 0.5000 0.5000  4 Th 3.46, 4 Y 3.46
Ho: 0.0000 0.0000 0.0000  4 Y 3.46, 4 Th 3.46
Th: 0.2500 0.2500 0.2500  4 Ho 3.46, 4 Tm 3.46

Going by the energies, 1 is most stable and the next is 0.132 eV/atom up.

--- 1 ---
A geometry-optimized Y2Ho12Th5 structure, computed with PBE.

Computed properties:
total moment	0.0	Bohr magnetons per cell
Fermi-level density of states	30.087	states/eV/f.u.
SG	No. 12

a b c (Å): 6.9868 9.9290 10.2684
angles (deg): 68.61 90.00 110.60
With the nearest neighbours (Å) after each atom.
Atoms (fractional coordinates):
Y: 0.7209 0.0000 0.0000  2 Ho 3.04, 1 Y 3.09
Y: 0.2791 0.0000 0.0000  2 Ho 3.04, 1 Y 3.09
Ho: 0.9685 0.9371 0.2437  2 Th 2.91-3.21, 2 Y 3.04
Ho: 0.0890 0.6859 0.8638  6 Ho 3.37-3.67, 2 Th 3.51-3.57, 1 Y 3.70
Ho: 0.5969 0.6859 0.8638  6 Ho 3.37-3.67, 2 Th 3.51-3.57, 1 Y 3.70
Ho: 0.0823 0.6651 0.5202  6 Ho 3.25-3.61, 2 Th 3.50-3.56
Ho: 0.5828 0.6651 0.5202  6 Ho 3.25-3.61, 2 Th 3.50-3.56
Ho: 0.5042 0.0083 0.6740  7 Ho 3.37-3.68, 2 Y 3.66
Ho: 0.4958 0.9917 0.3260  7 Ho 3.37-3.68, 2 Y 3.66
Ho: 0.9177 0.3349 0.4798  6 Ho 3.25-3.61, 2 Th 3.50-3.56
Ho: 0.4172 0.3349 0.4798  6 Ho 3.25-3.61, 2 Th 3.50-3.56
Ho: 0.9110 0.3141 0.1362  6 Ho 3.37-3.67, 2 Th 3.51-3.57, 1 Y 3.70
Ho: 0.4031 0.3141 0.1362  6 Ho 3.37-3.67, 2 Th 3.51-3.57, 1 Y 3.70
Ho: 0.0315 0.0629 0.7563  2 Th 2.91-3.21, 2 Y 3.04
Th: 0.1869 0.3737 0.8217  5 Ho 3.21-3.57, 2 Th 3.52
Th: 0.3209 0.6417 0.2102  2 Th 3.52, 2 Y 3.54, 9 Ho 3.56-3.87
Th: 0.0000 0.0000 0.5000  2 Ho 2.91
Th: 0.6791 0.3583 0.7898  2 Th 3.52, 2 Y 3.54, 9 Ho 3.56-3.87
Th: 0.8131 0.6263 0.1783  5 Ho 3.21-3.57, 2 Th 3.52

--- 2 ---
A geometry-optimized Y2Ho12Th5 structure, computed with PBE.

Computed properties:
total moment	0.0	Bohr magnetons per cell
Fermi-level density of states	29.417	states/eV/f.u.
SG	No. 12

a b c (Å): 10.2405 9.2366 7.8208
angles (deg): 89.32 90.00 123.67
With the nearest neighbours (Å) after each atom.
Atoms (fractional coordinates):
Y: 0.7487 0.0000 0.0000  8 Ho 3.41-3.53, 2 Th 3.51
Y: 0.2513 0.0000 0.0000  8 Ho 3.41-3.53, 2 Th 3.51
Ho: 0.8548 0.7095 0.1157  2 Th 3.25-3.49, 2 Y 3.52, 4 Ho 3.56-3.62
Ho: 0.0411 0.6113 0.7972  6 Ho 3.40-3.72, 1 Y 3.41, 4 Th 3.49-3.66
Ho: 0.5702 0.6113 0.7972  6 Ho 3.40-3.72, 1 Y 3.41, 4 Th 3.49-3.66
Ho: 0.1682 0.7831 0.3929  4 Th 3.38-3.56, 6 Ho 3.40-3.75, 1 Y 3.48
Ho: 0.6149 0.7831 0.3929  4 Th 3.38-3.56, 6 Ho 3.40-3.75, 1 Y 3.48
Ho: 0.4483 0.8965 0.7059  3 Th 3.30-3.57, 7 Ho 3.44-3.57, 2 Y 3.53
Ho: 0.5517 0.1035 0.2941  3 Th 3.30-3.57, 7 Ho 3.44-3.57, 2 Y 3.53
Ho: 0.8318 0.2169 0.6071  4 Th 3.38-3.56, 6 Ho 3.40-3.75, 1 Y 3.48
Ho: 0.3851 0.2169 0.6071  4 Th 3.38-3.56, 6 Ho 3.40-3.75, 1 Y 3.48
Ho: 0.9589 0.3887 0.2028  6 Ho 3.40-3.72, 1 Y 3.41, 4 Th 3.49-3.66
Ho: 0.4298 0.3887 0.2028  6 Ho 3.40-3.72, 1 Y 3.41, 4 Th 3.49-3.66
Ho: 0.1452 0.2905 0.8843  2 Th 3.25-3.49, 2 Y 3.52, 4 Ho 3.56-3.62
Th: 0.2408 0.4815 0.5112  8 Ho 3.25-3.56
Th: 0.3476 0.6952 0.0821  9 Ho 3.30-3.57, 2 Y 3.51
Th: 0.0000 0.0000 0.5000  6 Ho 3.40-3.77, 2 Th 3.70
Th: 0.6524 0.3048 0.9179  9 Ho 3.30-3.57, 2 Y 3.51
Th: 0.7592 0.5185 0.4888  8 Ho 3.25-3.56

Going by the energies, 2 is most stable and the next is 0.064 eV/atom up.

--- 1 ---
A geometry-optimized Y2HoTh4 structure, computed with PBE.

Computed properties:
total moment	0.0	Bohr magnetons per cell
Fermi-level density of states	11.555	states/eV/f.u.
SG	No. 136

a b c (Å): 5.6399 9.2636 9.2636
angles (deg): 90.00 90.00 90.00
With the nearest neighbours (Å) after each atom.
Atoms (fractional coordinates):
Y: 0.0000 0.1758 0.8242  6 Th 3.41-3.43, 2 Ho 3.64
Y: 0.0000 0.8242 0.1758  6 Th 3.41-3.43, 2 Ho 3.64
Y: 0.5000 0.6758 0.6758  6 Th 3.41-3.43, 2 Ho 3.64
Y: 0.5000 0.3242 0.3242  6 Th 3.41-3.43, 2 Ho 3.64
Ho: 0.5000 0.0000 0.0000  4 Th 3.60, 4 Y 3.64
Ho: 0.0000 0.5000 0.5000  4 Th 3.60, 4 Y 3.64
Th: 0.0000 0.1278 0.3877  2 Th 3.15-3.40, 3 Y 3.41-3.43
Th: 0.0000 0.8722 0.6123  2 Th 3.15-3.40, 3 Y 3.41-3.43
Th: 0.5000 0.1123 0.6278  2 Th 3.15-3.40, 3 Y 3.41-3.43
Th: 0.5000 0.8877 0.3722  2 Th 3.15-3.40, 3 Y 3.41-3.43
Th: 0.5000 0.3722 0.8877  2 Th 3.15-3.40, 3 Y 3.41-3.43
Th: 0.5000 0.6278 0.1123  2 Th 3.15-3.40, 3 Y 3.41-3.43
Th: 0.0000 0.3877 0.1278  2 Th 3.15-3.40, 3 Y 3.41-3.43
Th: 0.0000 0.6123 0.8722  2 Th 3.15-3.40, 3 Y 3.41-3.43

--- 2 ---
A geometry-optimized Y2HoTh4 structure, computed with PBE.

Computed properties:
total moment	0.9	Bohr magnetons per cell
Fermi-level density of states	16.704	states/eV/f.u.
SG	No. 139

a b c (Å): 5.6608 5.6608 9.2068
angles (deg): 107.90 107.90 90.00
With the nearest neighbours (Å) after each atom.
Atoms (fractional coordinates):
Y: 0.3825 0.3825 0.7650  5 Th 3.29-3.44
Y: 0.6175 0.6175 0.2350  5 Th 3.29-3.44
Ho: 0.0000 0.0000 0.0000  6 Th 2.83-3.05
Th: 0.1839 0.1839 0.3678  1 Ho 3.05, 1 Y 3.29
Th: 0.8161 0.8161 0.6322  1 Ho 3.05, 1 Y 3.29
Th: 0.0000 0.5000 0.0000  2 Ho 2.83
Th: 0.5000 0.0000 0.0000  2 Ho 2.83

Going by the energies, 1 is most stable and the next is 0.640 eV/atom up.

--- 1 ---
A geometry-optimized YHo3Th2 structure, computed with PBE.

Computed properties:
total moment	0.0	Bohr magnetons per cell
Fermi-level density of states	7.574	states/eV/f.u.
SG	No. 11

a b c (Å): 3.5653 10.0223 10.6316
angles (deg): 89.98 90.00 90.00
With the nearest neighbours (Å) after each atom.
Atoms (fractional coordinates):
Y: 0.2500 0.8763 0.7504  5 Th 3.53-3.60, 5 Ho 3.53-3.60, 2 Y 3.57
Y: 0.7500 0.1237 0.2496  5 Th 3.53-3.60, 5 Ho 3.53-3.60, 2 Y 3.57
Ho: 0.7500 0.1325 0.5820  6 Ho 3.51-3.64, 3 Th 3.51-3.57, 3 Y 3.54-3.60
Ho: 0.2500 0.8675 0.4180  6 Ho 3.51-3.64, 3 Th 3.51-3.57, 3 Y 3.54-3.60
Ho: 0.7500 0.6244 0.2503  7 Ho 3.51-3.59, 5 Th 3.52-3.57
Ho: 0.2500 0.3756 0.7497  7 Ho 3.51-3.59, 5 Th 3.52-3.57
Ho: 0.2500 0.3700 0.0817  3 Th 3.51-3.58, 2 Y 3.53, 7 Ho 3.53-3.60
Ho: 0.7500 0.6300 0.9183  3 Th 3.51-3.58, 2 Y 3.53, 7 Ho 3.53-3.60
Th: 0.2500 0.3788 0.4180  4 Th 3.48-3.57, 6 Ho 3.51-3.58, 2 Y 3.60
Th: 0.7500 0.6212 0.5820  4 Th 3.48-3.57, 6 Ho 3.51-3.58, 2 Y 3.60
Th: 0.7500 0.1238 0.9179  5 Ho 3.51-3.57, 4 Th 3.52-3.57, 3 Y 3.53-3.54
Th: 0.2500 0.8762 0.0821  5 Ho 3.51-3.57, 4 Th 3.52-3.57, 3 Y 3.53-3.54

--- 2 ---
A geometry-optimized YHo3Th2 structure, computed with PBE.

Computed properties:
total moment	0.0	Bohr magnetons per cell
Fermi-level density of states	7.758	states/eV/f.u.
SG	No. 63

a b c (Å): 11.3254 6.6764 6.6765
angles (deg): 117.55 90.00 90.00
With the nearest neighbours (Å) after each atom.
Atoms (fractional coordinates):
Y: 0.2500 0.4988 0.5012  4 Th 3.33, 6 Ho 3.34-3.46
Y: 0.7500 0.5012 0.4988  4 Th 3.33, 6 Ho 3.34-3.46
Ho: 0.7500 0.0010 0.9990  4 Th 3.31, 4 Ho 3.34, 2 Y 3.46
Ho: 0.7500 0.0012 0.4989  4 Ho 3.34-3.46, 2 Y 3.34
Ho: 0.2500 0.4989 0.0012  4 Ho 3.34-3.46, 2 Y 3.34
Ho: 0.7500 0.5011 0.9988  4 Ho 3.34-3.46, 2 Y 3.34
Ho: 0.2500 0.9988 0.5011  4 Ho 3.34-3.46, 2 Y 3.34
Ho: 0.2500 0.9990 0.0010  4 Th 3.31, 4 Ho 3.34, 2 Y 3.46
Th: 0.0000 0.2478 0.2478  2 Ho 3.31, 2 Y 3.33, 2 Th 3.43-3.49
Th: 0.5000 0.2478 0.2478  2 Ho 3.31, 2 Y 3.33, 2 Th 3.43-3.49
Th: 0.0000 0.7522 0.7522  2 Ho 3.31, 2 Y 3.33, 2 Th 3.43-3.49
Th: 0.5000 0.7522 0.7522  2 Ho 3.31, 2 Y 3.33, 2 Th 3.43-3.49

Going by the energies, 1 is most stable and the next is 0.546 eV/atom up.

--- 1 ---
A geometry-optimized Y2Ho3Th2 structure, computed with PBE.

Computed properties:
total moment	0.0	Bohr magnetons per cell
Fermi-level density of states	10.956	states/eV/f.u.
SG	No. 12

a b c (Å): 3.4430 8.5802 8.9343
angles (deg): 119.08 101.11 90.00
With the nearest neighbours (Å) after each atom.
Atoms (fractional coordinates):
Y: 0.5637 0.9065 0.1274  3 Y 3.33-3.44, 5 Ho 3.42-3.65, 4 Th 3.72
Y: 0.4363 0.0935 0.8726  3 Y 3.33-3.44, 5 Ho 3.42-3.65, 4 Th 3.72
Ho: 0.0000 0.5000 0.0000  4 Ho 3.35-3.44, 2 Th 3.51, 4 Y 3.54
Ho: 0.2155 0.7991 0.4309  5 Ho 3.35-3.49, 3 Y 3.42-3.65, 3 Th 3.47-3.58
Ho: 0.7845 0.2009 0.5691  5 Ho 3.35-3.49, 3 Y 3.42-3.65, 3 Th 3.47-3.58
Th: 0.8478 0.6528 0.6955  4 Th 3.44-3.56, 4 Ho 3.47-3.58, 4 Y 3.72
Th: 0.1522 0.3472 0.3045  4 Th 3.44-3.56, 4 Ho 3.47-3.58, 4 Y 3.72

--- 2 ---
A geometry-optimized Y2Ho3Th2 structure, computed with PBE.

Computed properties:
total moment	0.0	Bohr magnetons per cell
Fermi-level density of states	9.541	states/eV/f.u.
SG	No. 2

a b c (Å): 3.5716 9.4285 7.9210
angles (deg): 65.01 103.02 79.13
With the nearest neighbours (Å) after each atom.
Atoms (fractional coordinates):
Y: 0.5751 0.1414 0.2904  4 Y 3.50-3.57, 5 Ho 3.55-3.65, 3 Th 3.56-3.58
Y: 0.4249 0.8586 0.7096  4 Y 3.50-3.57, 5 Ho 3.55-3.65, 3 Th 3.56-3.58
Ho: 0.0000 0.0000 0.0000  4 Th 3.55, 4 Ho 3.57-3.59, 4 Y 3.57-3.58
Ho: 0.2947 0.5665 0.1564  4 Th 3.48, 3 Y 3.55-3.65, 5 Ho 3.57-3.67
Ho: 0.7053 0.4335 0.8436  4 Th 3.48, 3 Y 3.55-3.65, 5 Ho 3.57-3.67
Th: 0.1425 0.2880 0.5731  6 Ho 3.48-3.55, 3 Th 3.52-3.57, 3 Y 3.56-3.58
Th: 0.8575 0.7120 0.4269  6 Ho 3.48-3.55, 3 Th 3.52-3.57, 3 Y 3.56-3.58

Going by the energies, 2 is most stable and the next is 0.114 eV/atom up.